InPt2 | Alexandria via LeMat-Bulk | GGA-PBEsol | optimized geometry; magnetic moment = 0.0 μB per formula unit; energy relative to the elements = -7.9 kcal/mol of atoms
1.0
3.8806 0.0000 0.0000
0.0000 4.1208 0.0000
-1.9403 0.0000 6.1617
Pt In
4 2
Direct
0.0799 0.2500 0.1598 Pt
0.9201 0.7500 0.8402 Pt
0.7524 0.2500 0.5049 Pt
0.2476 0.7500 0.4951 Pt
0.4064 0.2500 0.8128 In
0.5936 0.7500 0.1872 In

***

In3Pt | Alexandria via LeMat-Bulk | GGA-PBEsol | optimized geometry; magnetic moment = 0.0 μB per formula unit; energy relative to the elements = -1.1 kcal/mol of atoms
1.0
4.2677 0.0000 0.0000
0.0000 4.2598 0.0000
0.0000 0.0000 4.6318
In Pt
3 1
Direct
0.5000 0.5000 0.9382 In
0.0000 0.0000 0.9361 In
0.5000 0.0000 0.4538 In
0.0000 0.5000 0.3386 Pt

***

InPt3 | Alexandria via LeMat-Bulk | GGA-PBEsol | optimized geometry; magnetic moment = 0.0 μB per formula unit; energy relative to the elements = -8.5 kcal/mol of atoms
1.0
-0.4194 3.2783 2.2327
-3.9228 -0.0112 -0.7205
-0.5859 -2.2717 3.2255
Pt In
3 1
Direct
0.0000 0.5000 0.0000 Pt
0.5000 0.0000 0.0000 Pt
0.0000 0.0000 0.5000 Pt
0.5000 0.5000 0.5000 In

***

In2Pt | Alexandria via LeMat-Bulk | GGA-PBEsol | optimized geometry; magnetic moment = 0.0 μB per formula unit; energy relative to the elements = -6.0 kcal/mol of atoms
1.0
-1.4260 -1.2871 -2.5629
-0.0896 -2.8409 1.4765
-9.9293 4.7819 5.1243
Pt In
2 4
Direct
0.2500 0.7500 0.5000 Pt
0.0000 0.0000 0.0000 Pt
0.5704 0.5704 0.1408 In
0.6796 0.1796 0.3592 In
0.4296 0.4296 0.8592 In
0.8204 0.3204 0.6408 In

***

In2Pt | Alexandria via LeMat-Bulk | GGA-PBEsol | optimized geometry; magnetic moment = 0.0 μB per formula unit; energy relative to the elements = -11.1 kcal/mol of atoms
1.0
-0.5572 -4.4443 -0.4033
2.8399 -2.4020 -2.5278
2.9130 -2.8175 1.9495
In Pt
2 1
Direct
0.7500 0.7500 0.7500 In
0.2500 0.2500 0.2500 In
0.0000 0.0000 0.0000 Pt

***

InPt3 | Alexandria via LeMat-Bulk | GGA-PBEsol | optimized geometry; magnetic moment = 0.0 μB per formula unit; energy relative to the elements = -4.9 kcal/mol of atoms
1.0
2.8553 0.0000 0.0000
0.0000 4.7446 0.0000
-1.4276 -2.3723 4.7536
Pt In
3 1
Direct
0.7489 0.2489 0.4977 Pt
0.2511 0.7511 0.5023 Pt
0.5000 0.5000 0.0000 Pt
0.0000 0.0000 0.0000 In

***

Which value of magnetic moment does entry 1 give? 0.0 μB per formula unit

***

Which formula does entry 4 have? In2Pt